K2MoO2F4 after structural relaxation. Source: the Alexandria database, functional PBE with a Hubbard U.

CIF file:
```
data_K2MoO2F4
_symmetry_space_group_name_H-M 'P 1'
_symmetry_Int_Tables_number 1
_cell_length_a 5.949
_cell_length_b 5.949
_cell_length_c 4.818
_cell_angle_alpha 92.11
_cell_angle_beta 92.11
_cell_angle_gamma 59.12
loop_
_symmetry_equiv_pos_as_xyz
'x,y,z'
loop_
_atom_site_label
_atom_site_type_symbol
_atom_site_fract_x
_atom_site_fract_y
_atom_site_fract_z
K1 K 0.173 0.173 0.314
K2 K 0.827 0.827 0.686
Mo1 Mo 0.500 0.500 0.000
O1 O 0.353 0.353 0.781
O2 O 0.647 0.647 0.219
F1 F 0.183 0.667 0.227
F2 F 0.333 0.817 0.773
F3 F 0.667 0.183 0.227
F4 F 0.817 0.333 0.773
```

**Symmetry**: No. 12
**Calculated volume**: 146.2 Å³/cell
**Total energy**: -5.257 eV/atom